No. 1
TlHgP2: relaxed, GGA-PBEsol.

a b c (Å): 3.2924 3.2924 27.7238
angles (deg): 90.00 90.00 120.00
With the nearest neighbours (Å) after each atom.
Space group R3m (No. 160, hexagonal axes)
Inequivalent atoms, fractional coordinates:
Tl1 0.0000 0.0000 0.0000 x3  6 Tl 3.29, 3 Hg 3.30, 3 P 3.39
Hg1 0.0000 0.0000 0.2358 x3  3 P 3.13, 6 Hg 3.29, 3 Tl 3.30
P1 0.0000 0.0000 0.4793 x3  3 P 2.27
P2 0.0000 0.0000 0.7681 x3  3 P 2.27

## Properties
Fermi-level density of states ... 2.8 states/eV/cell
Relative energy among the computed polymorphs ... 0.000 eV per atom
Uncorrected energy ... -0.1349 Ha/atom
M_tot ... 0.00 μB/f.u.

No. 2
Hg2PW: relaxed, GGA-PBEsol.

a b c (Å): 3.0094 4.8178 10.6239
angles (deg): 90.00 90.00 90.00
With the nearest neighbours (Å) after each atom.
Space group Imm2 (No. 44)
Inequivalent atoms, fractional coordinates:
Hg1 0.0000 0.0000 0.0000 x2  4 W 2.88, 4 Hg 3.01-3.21
Hg2 0.0000 0.5000 0.2003 x2  2 W 2.99, 4 P 3.00, 4 Hg 3.01-3.21
P1 0.0000 0.5000 0.7904 x2  2 W 2.33
W1 0.0000 0.0000 0.4573 x2  2 P 2.33

## Properties
Fermi-level density of states ... 6.5 states/eV/cell
Uncorrected energy ... -0.1739 Ha/atom
M_tot ... 0.00 μB/f.u.

No. 3
YHgP2: relaxed, GGA-PBEsol.

a b c (Å): 4.2414 4.2414 8.5183
angles (deg): 90.00 90.00 90.00
With the nearest neighbours (Å) after each atom.
Space group I4/mmm (No. 139)
Inequivalent atoms, fractional coordinates:
Y1 0.0000 0.0000 0.0000 x2  4 Hg 3.00, 8 P 3.01
Hg1 0.0000 0.0000 0.5000 x2  4 Y 3.00, 8 P 3.01
P1 0.0000 0.5000 0.2500 x4  4 P 3.00, 4 Hg 3.01, 4 Y 3.01

## Properties
Fermi-level density of states ... 2.6 states/eV/cell
Uncorrected energy ... -0.1877 Ha/atom
M_tot ... 0.00 μB/f.u.

No. 4
Y2HgP: relaxed, GGA-PBEsol.

a b c (Å): 3.8851 3.8851 22.4072
angles (deg): 90.00 90.00 120.00
With the nearest neighbours (Å) after each atom.
Space group R-3m (No. 166, hexagonal axes)
Inequivalent atoms, fractional coordinates:
Y1 0.0000 0.0000 0.2369 x6  3 P 2.74
Hg1 0.0000 0.0000 0.0000 x3  6 Y 3.12
P1 0.0000 0.0000 0.5000 x3  6 Y 2.74

## Properties
Fermi-level density of states ... 8.5 states/eV/cell
Relative energy among the computed polymorphs ... 0.000 eV per atom
Uncorrected energy ... -0.2231 Ha/atom
M_tot ... 0.00 μB/f.u.

No. 5
Y2HgP: relaxed, GGA-PBEsol.

a b c (Å): 3.6702 4.8916 4.9057
angles (deg): 90.00 90.00 90.00
With the nearest neighbours (Å) after each atom.
Space group Pmmm (No. 47)
Inequivalent atoms, fractional coordinates:
Y1 0.0000 0.0000 0.0000 x1  4 P 3.06, 4 Hg 3.06
Y2 0.0000 0.5000 0.5000 x1  4 Hg 3.06, 4 P 3.06
Hg1 0.5000 0.0000 0.5000 x1  8 Y 3.06
P1 0.5000 0.5000 0.0000 x1  8 Y 3.06

## Properties
Fermi-level density of states ... 2.7 states/eV/cell
Relative energy among the computed polymorphs ... 0.273 eV per atom
Uncorrected energy ... -0.2131 Ha/atom
M_tot ... 0.00 μB/f.u.

No. 6
ZnHgP: relaxed, GGA-PBEsol.

a b c (Å): 2.9392 2.9392 12.4603
angles (deg): 90.00 90.00 90.00
With the nearest neighbours (Å) after each atom.
Space group I4mm (No. 107)
Inequivalent atoms, fractional coordinates:
Zn1 0.0000 0.0000 0.0000 x2  4 P 2.59
Hg1 0.0000 0.0000 0.6719 x2  4 Hg 2.94, 4 Zn 2.98, 4 P 3.29
P1 0.0000 0.0000 0.3766 x2  4 Zn 2.59

## Properties
Fermi-level density of states ... 2.5 states/eV/cell
Uncorrected energy ... -0.0850 Ha/atom
M_tot ... 0.00 μB/f.u.

Number 1: formation enthalpy at 0 K 0.02 eV per atom. Number 2: formation enthalpy at 0 K 0.45 eV per atom. Number 3: formation enthalpy at 0 K -0.36 eV per atom. Number 4: formation enthalpy at 0 K -1.07 eV per atom. Number 5: formation enthalpy at 0 K -0.80 eV per atom. Number 6: formation enthalpy at 0 K 0.33 eV per atom.